[1]
A plane-wave DFT calculation with GGA-PBE was carried out for crystalline BeRuW2 at its relaxed geometry.

Calculated values
Calculated volume (Å³ per atom): 14.2
E_form (meV per atom): 191
Distance to the lowest polymorph of the same formula (meV/atom): 161

```
BeRuW2
1.0
4.314 0.000 0.000
2.157 3.736 0.000
2.157 1.245 3.522
W Be Ru
2 1 1
Direct
0.250 0.250 0.250
0.000 0.000 0.000
0.500 0.500 0.500
0.750 0.750 0.750
```


[2]
A plane-wave DFT calculation with GGA-PBE was carried out for crystalline Sm4Rh2Pb5 at its relaxed geometry.

Calculated values
Calculated volume (Å³ per atom): 27.1
E_form (meV per atom): -558

```
Sm4Rh2Pb5
1.0
-0.975 1.741 3.152
1.050 -6.924 4.148
9.322 2.847 1.310
Sm Pb Rh
4 5 2
Direct
0.500 0.204 0.428
0.500 0.796 0.572
0.500 0.802 0.159
0.500 0.198 0.841
0.000 0.455 0.661
0.000 0.861 0.867
0.000 0.545 0.339
0.000 0.139 0.133
0.000 0.500 0.000
0.000 0.917 0.364
0.000 0.083 0.636
```


[3]
A plane-wave DFT calculation with GGA-PBE was carried out for crystalline Pu2Zn6Rh at its relaxed geometry.

Calculated values
Calculated volume (Å³ per atom): 18.0
E_form (meV per atom): -205

```
Pu2Zn6Rh
1.0
-2.250 -3.095 3.927
5.082 1.950 0.621
-2.291 5.118 2.721
Pu Zn Rh
2 6 1
Direct
0.333 0.666 0.897
0.667 0.334 0.103
0.829 0.658 0.663
0.343 0.172 0.663
0.657 0.828 0.337
0.171 0.828 0.337
0.171 0.342 0.337
0.829 0.172 0.663
0.000 0.000 0.000
```


[4]
A plane-wave DFT calculation with GGA-PBE was carried out for crystalline CsInSn2Cl6 at its relaxed geometry.

Calculated values
Calculated volume (Å³ per atom): 37.2
Energy relative to the elements, uncorrected (eV/atom): -1.18

```
CsInSn2Cl6
1.0
11.375 0.573 0.595
4.345 8.341 1.282
4.345 0.972 8.383
Cl Cs Sn In
12 2 4 2
Direct
0.541 0.621 0.755
0.959 0.245 0.379
0.815 0.014 0.207
0.185 0.986 0.793
0.907 0.409 0.829
0.593 0.171 0.591
0.315 0.207 0.014
0.407 0.829 0.409
0.459 0.379 0.245
0.685 0.793 0.986
0.093 0.591 0.171
0.041 0.755 0.621
0.750 0.172 0.828
0.250 0.828 0.172
0.801 0.722 0.701
0.199 0.278 0.299
0.301 0.701 0.722
0.699 0.299 0.278
0.750 0.693 0.307
0.250 0.307 0.693
```


[5]
A plane-wave DFT calculation with GGA-PBE was carried out for crystalline TbPm2NdTm at its relaxed geometry.

Calculated values
Calculated volume (Å³ per atom): 35.6
E_form (meV per atom): 398

```
TbPm2NdTm
1.0
-1.743 -6.911 1.339
7.946 -2.315 -1.605
-2.623 1.904 6.410
Tm Pm Tb Nd
2 4 2 2
Direct
0.750 0.730 0.461
0.250 0.270 0.539
0.000 0.309 0.000
0.500 0.309 0.000
0.500 0.691 0.000
0.000 0.691 0.000
0.250 0.991 0.982
0.750 0.009 0.018
0.750 0.274 0.548
0.250 0.726 0.452
```


[6]
A plane-wave DFT calculation with GGA-PBE was carried out for crystalline GaFe3Ni3 at its relaxed geometry.

Calculated values
Calculated volume (Å³ per atom): 12.4
E_form (meV per atom): 62

```
GaFe3Ni3
1.0
-4.344 3.186 -2.162
-3.889 -4.044 1.491
-0.613 2.285 4.598
Fe Ga Ni
6 2 6
Direct
0.316 0.684 0.500
0.737 0.263 0.000
0.260 0.260 0.500
0.263 0.737 0.000
0.684 0.316 0.500
0.740 0.740 0.500
0.730 0.730 0.000
0.270 0.270 0.000
0.000 0.500 0.745
0.500 0.000 0.255
0.000 0.000 0.256
0.500 0.000 0.745
0.000 0.000 0.744
0.000 0.500 0.255
```


[7]
A plane-wave DFT calculation with GGA-PBE was carried out for crystalline GaIr2C at its relaxed geometry.

Calculated values
Calculated volume (Å³ per atom): 13.8
E_form (meV per atom): 132
Distance to the lowest polymorph of the same formula (meV/atom): 83

```
GaIr2C
1.0
-5.259 2.671 4.693
-1.562 -2.376 -0.398
4.769 -4.454 7.879
C Ir Ga
4 8 4
Direct
0.906 0.500 0.596
0.406 0.000 0.096
0.594 0.000 0.096
0.094 0.500 0.596
0.778 0.500 0.410
0.723 0.000 0.636
0.278 0.000 0.910
0.777 0.500 0.136
0.222 0.500 0.410
0.277 0.000 0.636
0.223 0.500 0.136
0.722 0.000 0.910
0.000 0.000 0.278
0.000 0.500 0.922
0.500 0.500 0.778
0.500 0.000 0.422
```


[8]
A plane-wave DFT calculation with GGA-PBE was carried out for crystalline Sr3LiHo2S6 at its relaxed geometry.

Calculated values
Calculated volume (Å³ per atom): 23.8
Energy relative to the elements, uncorrected (eV/atom): -1.99

```
Sr3LiHo2S6
1.0
7.025 0.000 0.002
-3.511 6.084 0.002
-1.170 -2.026 6.690
S Ho Sr Li
6 2 3 1
Direct
0.414 0.076 0.227
0.263 0.263 0.776
0.076 0.414 0.227
0.586 0.924 0.773
0.737 0.737 0.224
0.924 0.586 0.773
0.333 0.667 0.000
0.667 0.333 0.000
0.164 0.836 0.500
0.836 0.164 0.500
0.500 0.500 0.500
0.000 0.000 0.000
```


[9]
A plane-wave DFT calculation with GGA-PBE was carried out for crystalline Pd12PtAu3 at its relaxed geometry.

Calculated values
Calculated volume (Å³ per atom): 15.9
E_form (meV per atom): -33

```
Pd12PtAu3
1.0
-2.834 -0.039 2.818
0.749 -3.863 0.700
10.810 4.075 10.925
Pd Au Pt
12 3 1
Direct
0.000 0.500 0.122
0.500 0.000 0.374
0.500 0.500 0.751
0.500 0.500 0.500
0.500 0.000 0.122
0.000 0.500 0.626
0.500 0.500 0.249
0.000 0.500 0.374
0.500 0.000 0.878
0.000 0.500 0.878
0.500 0.500 0.000
0.500 0.000 0.626
0.000 0.000 0.752
0.000 0.000 0.248
0.000 0.000 0.500
0.000 0.000 0.000
```


[10]
A plane-wave DFT calculation with GGA-PBE was carried out for crystalline Ho2GaP at its relaxed geometry.

Calculated values
Calculated volume (Å³ per atom): 28.2
E_form (meV per atom): -557
Distance to the lowest polymorph of the same formula (meV/atom): 555

```
Ho2GaP
1.0
-1.956 -0.679 3.126
1.742 -1.294 3.058
1.424 8.029 4.884
Ho P Ga
2 1 1
Direct
0.108 0.108 0.675
0.892 0.892 0.325
0.500 0.500 0.500
0.000 0.000 0.000
```


[11]
A plane-wave DFT calculation with GGA-PBE was carried out for crystalline Pr12Dy6Tm at its relaxed geometry.

Calculated values
Calculated volume (Å³ per atom): 35.1
E_form (meV per atom): 128
Distance to the lowest polymorph of the same formula (meV/atom): 0

```
Pr12Dy6Tm
1.0
8.669 0.701 0.840
-0.621 8.675 0.840
-0.621 -0.724 8.685
Pr Dy Tm
12 6 1
Direct
0.567 0.218 0.464
0.637 0.982 0.808
0.536 0.433 0.782
0.982 0.808 0.637
0.363 0.018 0.192
0.192 0.363 0.018
0.782 0.536 0.433
0.433 0.782 0.536
0.218 0.464 0.567
0.464 0.567 0.218
0.808 0.637 0.982
0.018 0.192 0.363
0.706 0.259 0.099
0.294 0.741 0.901
0.259 0.099 0.706
0.099 0.706 0.259
0.741 0.901 0.294
0.901 0.294 0.741
0.000 0.000 0.000
```


[12]
A plane-wave DFT calculation with GGA-PBE was carried out for crystalline Zr2SiS at its relaxed geometry.

Calculated values
Calculated volume (Å³ per atom): 18.0
Energy relative to the elements, uncorrected (eV/atom): -0.72
Distance to the lowest polymorph of the same formula (meV/atom): 363

```
Zr2SiS
1.0
1.883 -4.228 0.605
-2.188 -3.174 2.631
-1.960 -3.735 -1.997
S Zr Si
1 2 1
Direct
0.500 0.500 0.500
0.750 0.750 0.750
0.250 0.250 0.250
0.000 0.000 0.000
```


[13]
A plane-wave DFT calculation with GGA-PBE was carried out for crystalline Sm2ZrSc at its relaxed geometry.

Calculated values
Calculated volume (Å³ per atom): 28.1
E_form (meV per atom): 115
Distance to the lowest polymorph of the same formula (meV/atom): 7

```
Sm2ZrSc
1.0
-0.367 -1.470 -3.065
3.288 -0.936 0.055
-2.429 -8.284 4.263
Sm Sc Zr
2 1 1
Direct
0.000 0.000 0.744
0.000 0.000 0.256
0.500 0.500 0.000
0.500 0.500 0.500
```


[14]
A plane-wave DFT calculation with GGA-PBE was carried out for crystalline ZrCuN2O at its relaxed geometry.

Calculated values
Calculated volume (Å³ per atom): 15.3
Energy relative to the elements, uncorrected (eV/atom): 0.27

```
ZrCuN2O
1.0
-2.218 -3.689 0.402
1.145 -1.126 -4.014
3.334 -1.844 1.469
N O Cu Zr
2 1 1 1
Direct
0.500 0.000 0.000
0.000 0.500 0.000
0.000 0.000 0.500
0.500 0.500 0.500
0.000 0.000 0.000
```


[15]
A plane-wave DFT calculation with GGA-PBE was carried out for crystalline ScCu2TcSe at its relaxed geometry.

Calculated values
Calculated volume (Å³ per atom): 20.3
Energy relative to the elements, uncorrected (eV/atom): 0.46

```
ScCu2TcSe
1.0
-0.296 -1.363 -4.490
4.671 0.349 -0.414
0.443 -4.377 1.299
Sc Cu Tc Se
1 2 1 1
Direct
0.500 0.500 0.500
0.000 0.500 0.000
0.500 0.000 0.000
0.000 0.000 0.000
0.000 0.000 0.500
```


[16]
A plane-wave DFT calculation with GGA-PBE was carried out for crystalline KAs2AuBr at its relaxed geometry.

Calculated values
Calculated volume (Å³ per atom): 36.7
Energy relative to the elements, uncorrected (eV/atom): 0.02
Distance to the lowest polymorph of the same formula (meV/atom): 0

```
KAs2AuBr
1.0
-3.306 3.370 -1.316
0.915 -0.947 -4.721
-5.463 -5.354 0.015
Br K As Au
1 1 2 1
Direct
0.000 0.000 0.500
0.500 0.500 0.500
0.500 0.000 0.000
0.000 0.500 0.000
0.000 0.000 0.000
```


[17]
A plane-wave DFT calculation with GGA-PBE was carried out for crystalline SiBr3 at its relaxed geometry.

Calculated values
Calculated volume (Å³ per atom): 42.5
Energy relative to the elements, uncorrected (eV/atom): 0.08
Distance to the lowest polymorph of the same formula (meV/atom): 833

```
SiBr3
1.0
-3.713 -5.467 4.043
-3.088 -2.748 -6.552
1.033 -7.586 -1.886
Br Si
6 2
Direct
0.000 0.000 0.000
0.375 0.548 0.750
0.750 0.250 0.500
0.875 0.702 0.750
0.298 0.625 0.250
0.452 0.125 0.250
0.500 0.500 0.000
0.250 0.750 0.500
```


[18]
A plane-wave DFT calculation with GGA-PBE was carried out for crystalline Ac5LaPm2Pr at its relaxed geometry.

Calculated values
Calculated volume (Å³ per atom): 42.0
E_form (meV per atom): 271

```
Ac5LaPm2Pr
1.0
-5.213 6.950 -4.760
-6.376 -6.914 -3.112
1.513 1.091 10.245
Pm La Pr Ac
4 2 2 10
Direct
0.605 0.105 0.000
0.895 0.605 0.000
0.105 0.395 0.000
0.395 0.895 0.000
0.750 0.750 0.500
0.250 0.250 0.500
0.750 0.250 0.500
0.250 0.750 0.500
0.165 0.072 0.737
0.835 0.928 0.263
0.928 0.428 0.263
0.335 0.835 0.263
0.572 0.665 0.737
0.072 0.572 0.737
0.428 0.335 0.263
0.665 0.165 0.737
0.000 0.000 0.000
0.500 0.500 0.000
```


[19]
A plane-wave DFT calculation with GGA-PBE was carried out for crystalline MgFeGe3 at its relaxed geometry.

Calculated values
Calculated volume (Å³ per atom): 19.8
E_form (meV per atom): 189

```
MgFeGe3
1.0
4.626 0.000 0.000
0.000 4.626 0.000
0.000 0.000 4.626
Ge Mg Fe
3 1 1
Direct
0.500 0.000 0.000
0.000 0.500 0.000
0.000 0.000 0.500
0.500 0.500 0.500
0.000 0.000 0.000
```


[20]
A plane-wave DFT calculation with GGA-PBE was carried out for crystalline Li2AcBeS4 at its relaxed geometry.

Calculated values
Calculated volume (Å³ per atom): 19.6
Energy relative to the elements, uncorrected (eV/atom): -1.31

```
Li2AcBeS4
1.0
6.546 0.000 0.000
3.273 4.885 -0.548
3.273 -0.004 4.916
S Be Ac Li
4 1 1 2
Direct
0.000 0.845 0.541
0.000 0.459 0.155
0.614 0.541 0.845
0.386 0.155 0.459
0.000 0.500 0.500
0.000 0.000 0.000
0.500 0.251 0.749
0.500 0.749 0.251
```